<P>
PBE Al2SeCl, optimized geometry; calculated density = 2.72 g/cm3
1.0
3.947 0.000 0.000
0.000 3.949 0.000
0.000 0.000 6.605
Se Cl Al
1 1 2
direct
0.500 0.500 0.909
0.000 0.000 0.300
0.500 0.500 0.360
0.000 0.000 0.932

<Q>
PBE Al2SeCl, optimized geometry; calculated density = 3.10 g/cm3
1.0
3.632 0.013 0.000
-1.833 3.136 0.000
0.000 0.000 7.901
Al Se Cl
2 1 1
direct
0.000 0.000 0.517
0.000 0.000 0.983
0.500 0.500 0.750
0.500 0.500 0.250

Most stable: <P> (next structure +119 meV per atom)

<P>
PBE LiSeCl2, optimized geometry; calculated density = 3.00 g/cm3
1.0
2.088 0.000 7.655
-1.044 1.808 7.655
-1.044 -1.808 7.655
Cl Se Li
2 1 1
direct
0.894 0.894 0.894
0.106 0.106 0.106
0.000 0.000 0.000
0.500 0.500 0.500

<Q>
PBE LiSeCl2, optimized geometry; calculated density = 2.42 g/cm3
1.0
6.777 0.000 0.000
0.000 3.652 0.019
0.000 1.801 4.352
Li Cl Se
1 2 1
direct
0.000 0.614 0.648
0.500 0.346 0.184
0.000 0.947 0.981
0.500 0.593 0.686

Most stable: <P> (next structure +168 meV per atom)

<P>
PBE Li2B3C3, optimized geometry; calculated density = 1.97 g/cm3
1.0
4.704 0.000 0.000
-2.352 4.074 0.000
0.000 0.000 7.233
C B Li
6 6 4
direct
0.337 0.000 0.750
0.000 0.337 0.750
0.000 0.663 0.250
0.663 0.663 0.750
0.663 0.000 0.250
0.337 0.337 0.250
0.330 0.330 0.750
0.330 0.000 0.250
0.670 0.000 0.750
0.000 0.670 0.750
0.000 0.330 0.250
0.670 0.670 0.250
0.667 0.333 0.500
0.333 0.667 0.000
0.667 0.333 0.000
0.333 0.667 0.500

<Q>
PBE Li2B3C3, optimized geometry; calculated density = 1.96 g/cm3
1.0
7.183 0.001 0.000
-6.669 2.667 0.000
0.000 0.000 7.266
C Li B
6 4 6
direct
0.556 0.444 0.250
0.891 0.109 0.250
0.776 0.224 0.750
0.110 0.890 0.750
0.224 0.776 0.250
0.443 0.557 0.750
0.677 0.323 0.002
0.990 0.010 0.998
0.677 0.323 0.498
0.990 0.010 0.502
0.782 0.218 0.250
0.222 0.778 0.750
0.885 0.115 0.750
0.553 0.447 0.750
0.445 0.555 0.250
0.113 0.887 0.250

Most stable: <P> (next structure +8 meV per atom)

<P>
PBE Mg2TlBr, optimized geometry; calculated density = 5.28 g/cm3
1.0
-0.871 1.023 -5.879
-3.024 -1.456 -5.011
-3.782 3.628 0.979
Mg Tl Br
2 1 1
direct
0.997 0.997 0.894
0.238 0.238 0.309
0.501 0.501 0.400
0.764 0.764 0.897

<Q>
PBE Mg2TlBr, optimized geometry; calculated density = 5.20 g/cm3
1.0
3.658 0.068 0.000
-1.652 3.264 0.000
0.000 0.000 8.823
Tl Br Mg
1 1 2
direct
0.500 0.500 0.250
0.500 0.500 0.750
0.000 0.000 0.504
0.000 0.000 0.996

Most stable: <Q> (next structure +18 meV per atom)